1.
# V2SnF8

A relaxed structure of V2SnF8 (PBE+U, Alexandria via LeMat-Bulk).

a = 4.051 Å, b = 7.038 Å, c = 7.038 Å
α = 120.01°, β = 90.00°, γ = 90.00°
Site moments in Bohr magnetons follow the coordinates.
Positions (direct):
1 V 0.269 0.333 0.667  1.91
2 F 0.256 0.178 0.357  -0.01
3 F 0.257 0.643 0.820  -0.01
4 F 0.256 0.180 0.822  -0.01
5 F 0.236 0.667 0.333  0.02
6 F 0.744 0.822 0.643  -0.01
7 Sn 0.000 0.000 0.000  -0.01
8 F 0.764 0.333 0.667  0.02
9 F 0.743 0.357 0.180  -0.01
10 V 0.731 0.667 0.333  1.91
11 F 0.744 0.820 0.178  -0.01

Results
- Calculated density: 3.56 Mg/m³
- Raw total energy: -5.666 eV/atom
- Size of the total moment: 4.000 μB per formula unit



2.
# VSnF

A relaxed structure of VSnF (PBE+U, Alexandria via LeMat-Bulk).

a = 5.638 Å, b = 4.602 Å, c = 6.072 Å
α = 90.00°, β = 90.00°, γ = 127.77°
Site moments in Bohr magnetons follow the coordinates.
Positions (direct):
1 Sn 0.756 0.512 0.750  -0.01
2 F 0.193 0.386 0.250  0.04
3 V 0.384 0.769 0.000  2.73
4 V 0.384 0.769 0.500  2.73
5 F 0.193 0.386 0.750  0.04
6 Sn 0.756 0.512 0.250  -0.01

Results
- Calculated density: 5.03 Mg/m³
- Raw total energy: -5.038 eV/atom
- Size of the total moment: 3.164 μB per formula unit



3.
# VSnF2

A relaxed structure of VSnF2 (PBE+U, Alexandria via LeMat-Bulk).

a = 9.563 Å, b = 9.563 Å, c = 9.563 Å
α = 19.66°, β = 19.66°, γ = 19.66°
Site moments in Bohr magnetons follow the coordinates.
Positions (direct):
1 V 0.500 0.500 0.500  2.77
2 F 0.132 0.132 0.132  0.01
3 F 0.868 0.868 0.868  0.01
4 Sn 0.000 0.000 0.000  0.00

Results
- Calculated density: 3.98 Mg/m³
- Raw total energy: -5.600 eV/atom
- Size of the total moment: 2.994 μB per formula unit



4.
# VSn2F8

A relaxed structure of VSn2F8 (PBE+U, Alexandria via LeMat-Bulk).

a = 3.667 Å, b = 5.183 Å, c = 7.937 Å
α = 102.87°, β = 103.35°, γ = 90.00°
Site moments in Bohr magnetons follow the coordinates.
Positions (direct):
1 V 0.500 0.000 0.000  1.91
2 F 0.379 0.096 0.758  -0.03
3 F 0.406 0.632 0.811  -0.03
4 F 0.011 0.787 0.021  -0.03
5 F 0.238 0.300 0.476  -0.04
6 F 0.762 0.700 0.524  -0.04
7 F 0.989 0.213 0.979  -0.03
8 Sn 0.157 0.633 0.314  -0.09
9 Sn 0.843 0.367 0.686  -0.09
10 F 0.594 0.368 0.189  -0.03
11 F 0.621 0.904 0.242  -0.03

Results
- Calculated density: 5.12 Mg/m³
- Raw total energy: -5.109 eV/atom
- Size of the total moment: 1.570 μB per formula unit



5.
# VSnF2

A relaxed structure of VSnF2 (PBE+U, Alexandria via LeMat-Bulk).

a = 4.401 Å, b = 4.401 Å, c = 4.401 Å
α = 60.00°, β = 60.00°, γ = 60.00°
Positions (direct):
1 V 0.000 0.000 0.000
2 Sn 0.500 0.500 0.500
3 F 0.250 0.250 0.250
4 F 0.750 0.750 0.750

Results
- Calculated density: 5.72 Mg/m³
- Raw total energy: -4.293 eV/atom
- Size of the total moment: 0.000 μB per formula unit



6.
# V2SnF

A relaxed structure of V2SnF (PBE+U, Alexandria via LeMat-Bulk).

a = 5.307 Å, b = 5.307 Å, c = 7.326 Å
α = 68.76°, β = 68.76°, γ = 90.00°
Site moments in Bohr magnetons follow the coordinates.
Positions (direct):
1 Sn 0.750 0.250 0.500  0.00
2 V 0.443 0.125 0.250  2.88
3 F 0.250 0.750 0.500  0.02
4 Sn 0.000 0.000 0.000  0.00
5 V 0.375 0.557 0.750  2.88
6 V 0.307 0.625 0.250  2.88
7 F 0.500 0.500 0.000  0.02
8 V 0.875 0.693 0.750  2.88

Results
- Calculated density: 4.49 Mg/m³
- Raw total energy: -5.208 eV/atom
- Size of the total moment: 6.640 μB per formula unit